Entry 1:
Compound: Er2Se3
Source: the Open Quantum Materials Database
Functional: PBE-GGA
Structure: optimized geometry

Lattice parameters (Å, degrees): 10.0449 10.0449 10.0449 24.56 24.56 24.56
Fractional positions:
Er1 0.2599 0.2599 0.2599
Er2 0.7074 0.7074 0.7074
Se1 0.5537 0.5537 0.5537
Se2 0.7909 0.7909 0.7909
Se3 0.9912 0.9912 0.9912

Uncorrected energy ... -5.1193 eV/atom
V ... 154.0 Å³/cell
Size of the total moment ... 0.00 Bohr magnetons per cell

Entry 2:
Compound: NaNpOs
Source: the Open Quantum Materials Database
Functional: PBE-GGA
Structure: optimized geometry

Lattice parameters (Å, degrees): 4.5835 4.5835 4.5835 60.00 60.00 60.00
Fractional positions:
Na1 0.2500 0.2500 0.2500
Np1 0.0000 0.0000 0.0000
Os1 0.7500 0.7500 0.7500

Uncorrected energy ... -7.1380 eV/atom
V ... 68.1 Å³/cell
Size of the total moment ... 3.77 Bohr magnetons per cell

Entry 3:
Compound: LaScBeNi
Source: the Open Quantum Materials Database
Functional: PBE-GGA
Structure: optimized geometry

Lattice parameters (Å, degrees): 4.6263 4.6263 4.6263 60.00 60.00 60.00
Fractional positions:
Be1 0.7500 0.7500 0.7500
La1 0.2500 0.2500 0.2500
Ni1 0.5000 0.5000 0.5000
Sc1 0.0000 0.0000 0.0000

V ... 70.0 Å³/cell
Relative energy among the computed polymorphs ... 0.110 eV/atom
Size of the total moment ... 0.00 Bohr magnetons per cell

Entry 4:
Compound: YTcOs2
Source: the Open Quantum Materials Database
Functional: PBE-GGA
Structure: optimized geometry

Lattice parameters (Å, degrees): 4.5543 4.5543 4.5543 60.00 60.00 60.00
Fractional positions:
Os1 0.0000 0.0000 0.0000
Os2 0.2500 0.2500 0.2500
Tc1 0.7500 0.7500 0.7500
Y1 0.5000 0.5000 0.5000

V ... 66.8 Å³/cell
Formation enthalpy at 0 K ... 437 meV/atom
Relative energy among the computed polymorphs ... 0.000 eV/atom
Size of the total moment ... 0.12 Bohr magnetons per cell

Entry 5:
Compound: RbDyZnO3
Source: the Open Quantum Materials Database
Functional: PBE-GGA
Structure: optimized geometry

Lattice parameters (Å, degrees): 6.5191 6.5191 9.0524 90.00 90.00 31.26
Fractional positions:
Dy1 0.0000 0.0000 0.0000
Dy2 0.0000 0.0000 0.5000
O1 0.3884 0.3884 0.0528
O2 0.0352 0.0352 0.2500
O3 0.3884 0.3884 0.4472
O4 0.6116 0.6116 0.5528
O5 0.9648 0.9648 0.7500
O6 0.6116 0.6116 0.9472
Rb1 0.7216 0.7216 0.2500
Rb2 0.2784 0.2784 0.7500
Zn1 0.4430 0.4430 0.2500
Zn2 0.5570 0.5570 0.7500

Uncorrected energy ... -5.8450 eV/atom
V ... 199.7 Å³/cell
Size of the total moment ... 0.00 Bohr magnetons per cell

Entry 6:
Compound: PuTaFe
Source: the Open Quantum Materials Database
Functional: PBE-GGA
Structure: optimized geometry

Lattice parameters (Å, degrees): 4.2634 4.2634 4.2634 60.00 60.00 60.00
Fractional positions:
Fe1 0.0000 0.0000 0.0000
Pu1 0.7500 0.7500 0.7500
Ta1 0.2500 0.2500 0.2500

V ... 54.8 Å³/cell
Formation enthalpy at 0 K ... 839 meV/atom
Relative energy among the computed polymorphs ... 0.000 eV/atom
Size of the total moment ... 0.00 Bohr magnetons per cell

Entry 7:
Compound: TbCuGeTe2S
Source: the Open Quantum Materials Database
Functional: PBE-GGA
Structure: optimized geometry

Lattice parameters (Å, degrees): 7.5428 7.5428 10.1936 90.00 90.00 148.93
Fractional positions:
Cu1 0.4818 0.5182 0.2500
Cu2 0.5182 0.4818 0.7500
Ge1 0.7654 0.2346 0.2500
Ge2 0.2346 0.7654 0.7500
S1 0.0653 0.9347 0.2500
S2 0.9347 0.0653 0.7500
Tb1 0.0000 0.0000 0.0000
Tb2 0.0000 0.0000 0.5000
Te1 0.3457 0.6543 0.0664
Te2 0.3457 0.6543 0.4336
Te3 0.6543 0.3457 0.5664
Te4 0.6543 0.3457 0.9336

Uncorrected energy ... -4.5402 eV/atom
V ... 299.3 Å³/cell
Size of the total moment ... 0.01 Bohr magnetons per cell

Entry 8:
Compound: Nb4ZnBiN2
Source: the Open Quantum Materials Database
Functional: PBE-GGA
Structure: optimized geometry

Lattice parameters (Å, degrees): 3.2659 3.2659 13.4799 90.00 90.00 120.00
Fractional positions:
Bi1 0.0000 0.0000 0.0000
N1 0.3333 0.6667 0.2598
N2 0.3333 0.6667 0.7402
Nb1 0.6667 0.3333 0.1782
Nb2 0.0000 0.0000 0.3431
Nb3 0.0000 0.0000 0.6569
Nb4 0.6667 0.3333 0.8218
Zn1 0.6667 0.3333 0.5000

Uncorrected energy ... -8.1876 eV/atom
V ... 124.5 Å³/cell
Size of the total moment ... 0.00 Bohr magnetons per cell